Record 1
# ReAu (PBE-GGA, optimized geometry)
# calculated volume	198.7	Å³/cell
# energy relative to the lowest polymorph listed for this composition	0.51	eV/f.u.
# formation energy from the elements	0.398	eV/atom
data_ReAu
_space_group_name_H-M_alt 'C 1 m 1'
_space_group_IT_number 8
_cell_length_a 10.6857
_cell_length_b 2.8707
_cell_length_c 6.7214
_cell_angle_alpha 90.00
_cell_angle_beta 105.49
_cell_angle_gamma 90.00
loop_
_space_group_symop_operation_xyz
'x,y,z'
'x,-y,z'
'x+1/2,y+1/2,z'
'x+1/2,-y+1/2,z'
loop_
_atom_site_label
_atom_site_type_symbol
_atom_site_fract_x
_atom_site_fract_y
_atom_site_fract_z
Re1 Re 0.0000 0.0000 0.0000
Re2 Re 0.0432 0.0000 0.6398
Re3 Re 0.1901 0.5000 0.9462
Au1 Au 0.1477 0.5000 0.3492
Au2 Au 0.3229 0.0000 0.6893
Au3 Au 0.3742 0.0000 0.2688


Record 2
# Fe2HRu (PBE-GGA, optimized geometry)
# calculated volume	117.0	Å³/cell
# energy relative to the lowest polymorph listed for this composition	0.00	eV/f.u.
data_Fe2HRu
_space_group_name_H-M_alt 'R -3 m'
_space_group_IT_number 166
_space_group_name_Hall '-R 3 2"'
_cell_length_a 2.6398
_cell_length_b 2.6398
_cell_length_c 19.3899
_cell_angle_alpha 90.00
_cell_angle_beta 90.00
_cell_angle_gamma 120.00
loop_
_atom_site_label
_atom_site_type_symbol
_atom_site_fract_x
_atom_site_fract_y
_atom_site_fract_z
Fe1 Fe 0.0000 0.0000 0.2244
H1 H 0.0000 0.0000 0.5000
Ru1 Ru 0.0000 0.0000 0.0000


Record 3
# Zr3Si (PBE-GGA, optimized geometry)
# calculated volume	255.8	Å³/cell
# formation energy (no corrections)	-0.50	eV/f.u.
data_Zr3Si
_space_group_name_H-M_alt 'R -3 m'
_space_group_IT_number 166
_space_group_name_Hall '-R 3 2"'
_cell_length_a 3.2319
_cell_length_b 3.2319
_cell_length_c 28.2839
_cell_angle_alpha 90.00
_cell_angle_beta 90.00
_cell_angle_gamma 120.00
loop_
_atom_site_label
_atom_site_type_symbol
_atom_site_fract_x
_atom_site_fract_y
_atom_site_fract_z
Zr1 Zr 0.0000 0.0000 0.0000
Zr2 Zr 0.0000 0.0000 0.2421
Si1 Si 0.0000 0.0000 0.5000


no.,final energy (eV per atom),density (g/cm3),total magnetization (μB/cell)
1,-7.47,19.214,0.000
2,-7.32,9.101,12.516
3,-7.89,5.876,0.000